Entry 1:
# Gd3Ho3CoTe2

A relaxed Gd3Ho3CoTe2 crystal (PBE, the Open Quantum Materials Database).

The space group is P-62m (No. 189) and the conventional cell measures 8.4094, 8.4094 and 3.8866 Å, with angles of 90.00, 90.00 and 120.00 degrees. The asymmetric unit holds Gd at (0.0000, 0.2375, 0.0000), Ho at (0.0000, 0.5976, 0.5000), Co at (0.0000, 0.0000, 0.5000) and Te at (0.3333, 0.6667, 0.0000).

The value obtained for the excess energy over the best structure of this formula in the dataset is 0.426 eV/f.u.

***

Entry 2:
# MgFeSbIr

A relaxed MgFeSbIr crystal (PBE, the Open Quantum Materials Database).

The space group is F-43m (No. 216) and the conventional cell measures 6.2373, 6.2373 and 6.2373 Å, with angles of 90.00, 90.00 and 90.00 degrees. The asymmetric unit holds Mg at (0.0000, 0.0000, 0.0000), Fe at (0.2500, 0.2500, 0.7500), Sb at (0.0000, 0.0000, 0.5000) and Ir at (0.2500, 0.2500, 0.2500).

The value obtained for the excess energy over the best structure of this formula in the dataset is 0.000 eV/f.u.